1.
A geometry-optimized Sm3Cd2Pt4 structure. Source: the Alexandria database, functional PBE-GGA.

Lattice parameters (Å, degrees): 4.4059 5.4818 9.2515 91.63 90.00 113.69
Positions (direct):
Sm: 0.0000 0.0000 0.0000
Pt: 0.7030 0.4059 0.0837
Pt: 0.0792 0.1583 0.6209
Cd: 0.3261 0.6523 0.2207
Cd: 0.6739 0.3477 0.7793
Sm: 0.3723 0.7447 0.6174
Pt: 0.9208 0.8417 0.3791
Sm: 0.6277 0.2553 0.3826
Pt: 0.2970 0.5941 0.9163

Results
The energy relative to the elements is -869 meV per atom. As for the volume: 204.5 Å³/cell. As for the crystal system: monoclinic. The space-group type is C2/m, No. 12.


2.
A geometry-optimized La2RePt2 structure. Source: the Alexandria database, functional PBE-GGA.

Lattice parameters (Å, degrees): 7.0896 7.0896 4.5455 90.00 90.00 90.00
Positions (direct):
Re: 0.5000 0.5000 0.0000
Pt: 0.3607 0.8607 0.0000
Re: 0.0000 0.0000 0.0000
La: 0.3237 0.1763 0.5000
Pt: 0.8607 0.6393 0.0000
La: 0.6763 0.8237 0.5000
La: 0.1763 0.6763 0.5000
Pt: 0.1393 0.3607 0.0000
Pt: 0.6393 0.1393 0.0000
La: 0.8237 0.3237 0.5000

Results
The energy relative to the elements is -386 meV per atom. As for the volume: 228.5 Å³/cell. As for the crystal system: tetragonal. The space-group type is P4/mbm, No. 127.


3.
A geometry-optimized Y3Ge2RuC structure. Source: the Alexandria database, functional PBE-GGA.

Lattice parameters (Å, degrees): 3.9565 4.7282 8.3823 106.38 103.65 90.00
Positions (direct):
Ge: 0.6465 0.6465 0.2930
Ru: 0.5000 0.0000 0.0000
Y: 0.1640 0.1640 0.3279
Ge: 0.3535 0.3535 0.7070
Y: 0.0000 0.5000 0.0000
Y: 0.8360 0.8360 0.6721
C: 0.0000 0.0000 0.0000

Results
The energy relative to the elements is -544 meV per atom. As for the volume: 145.8 Å³/cell. As for the crystal system: orthorhombic. The space-group type is Immm, No. 71.


4.
A geometry-optimized TbDy12Er3 structure. Source: the Alexandria database, functional PBE-GGA.

Lattice parameters (Å, degrees): 4.9918 4.9918 19.9538 90.00 90.00 90.00
Positions (direct):
Dy: 0.5000 0.0000 0.3752
Dy: 0.0000 0.5000 0.1256
Dy: 0.0000 0.5000 0.6248
Dy: 0.5000 0.5000 0.2506
Er: 0.0000 0.0000 0.7496
Er: 0.0000 0.0000 0.5000
Dy: 0.5000 0.5000 0.0000
Dy: 0.5000 0.5000 0.5000
Dy: 0.5000 0.0000 0.6248
Tb: 0.0000 0.0000 0.0000
Dy: 0.0000 0.5000 0.3752
Dy: 0.5000 0.0000 0.8744
Er: 0.0000 0.0000 0.2504
Dy: 0.5000 0.5000 0.7494
Dy: 0.5000 0.0000 0.1256
Dy: 0.0000 0.5000 0.8744

Results
The energy relative to the elements is 19 meV per atom. As for the volume: 497.2 Å³/cell. As for the crystal system: tetragonal. The space-group type is P4/mmm, No. 123.


5.
A geometry-optimized AlCuOs2 structure. Source: the Alexandria database, functional PBE-GGA.

Lattice parameters (Å, degrees): 6.8954 6.8954 5.4984 51.17 51.17 90.00
Positions (direct):
Al: 0.2500 0.7500 0.5000
Os: 0.1301 0.6250 0.2500
Cu: 0.0000 0.0000 0.0000
Os: 0.3750 0.3801 0.7500
Os: 0.8750 0.8699 0.7500
Os: 0.6199 0.1250 0.2500
Cu: 0.7500 0.2500 0.5000
Al: 0.5000 0.5000 0.0000

Results
The energy relative to the elements is 712 meV per atom. As for the volume: 120.8 Å³/cell. As for the crystal system: tetragonal. The space-group type is I-42d, No. 122.


6.
A geometry-optimized Mn3OsS structure. Source: the Alexandria database, functional PBE-GGA.

Lattice parameters (Å, degrees): 4.0756 4.0756 4.0756 90.00 90.00 90.00
Last column: magnetic moment on the atom in μB.
Positions (direct):
Mn: 0.0000 0.5000 0.0000  1.51
Mn: 0.5000 0.0000 0.0000  1.23
S: 0.0000 0.0000 0.0000  -0.05
Mn: 0.0000 0.0000 0.5000  1.79
Os: 0.5000 0.5000 0.5000  0.37

Results
As for the energy above the most stable polymorph in this dataset: 0.00 eV per formula unit. As for the volume: 67.7 Å³/cell. As for the crystal system: cubic. The calculation puts the energy relative to the elements, uncorrected at 0.672 eV/atom. The space-group type is Pm-3m, No. 221.


7.
A geometry-optimized SrLiCa2Pt structure. Source: the Alexandria database, functional PBE-GGA.

Lattice parameters (Å, degrees): 5.6176 5.6176 5.9292 90.00 90.00 90.00
Positions (direct):
Ca: 0.0000 0.5000 0.0000
Ca: 0.5000 0.0000 0.0000
Pt: 0.0000 0.0000 0.0000
Sr: 0.0000 0.0000 0.5000
Li: 0.5000 0.5000 0.5000

Results
The energy relative to the elements is -405 meV per atom. As for the energy above the most stable polymorph in this dataset: 0.00 eV per formula unit. As for the volume: 187.1 Å³/cell. As for the crystal system: tetragonal. The space-group type is P4/mmm, No. 123.


8.
A geometry-optimized BaRhBr2 structure. Source: the Alexandria database, functional PBE-GGA.

Lattice parameters (Å, degrees): 4.8622 4.8622 5.7105 67.31 67.31 73.68
Last column: magnetic moment on the atom in μB.
Positions (direct):
Ba: 0.2500 0.2500 0.2500  0.00
Rh: 0.7500 0.7500 0.7500  0.82
Br: 0.5220 0.5220 0.5588  0.04
Br: 0.9780 0.9780 0.9412  0.04

Results
As for the energy above the most stable polymorph in this dataset: 0.25 eV per formula unit. As for the volume: 113.5 Å³/cell. As for the crystal system: monoclinic. The calculation puts the energy relative to the elements, uncorrected at -0.823 eV/atom. The space-group type is C2/m, No. 12.


9.
A geometry-optimized NbIn2B structure. Source: the Alexandria database, functional PBE-GGA.

Lattice parameters (Å, degrees): 7.7972 7.7972 6.0294 49.71 49.71 90.00
Positions (direct):
B: 0.2500 0.7500 0.5000
Nb: 0.0000 0.0000 0.0000
In: 0.5340 0.1250 0.2500
Nb: 0.7500 0.2500 0.5000
In: 0.8750 0.7840 0.7500
In: 0.3750 0.4660 0.7500
B: 0.5000 0.5000 0.0000
In: 0.2160 0.6250 0.2500

Results
The energy relative to the elements is 610 meV per atom. As for the volume: 148.4 Å³/cell. As for the crystal system: tetragonal. The space-group type is I-42d, No. 122.


10.
A geometry-optimized ZrTaHg3 structure. Source: the Alexandria database, functional PBE-GGA.

Lattice parameters (Å, degrees): 5.2054 5.2054 5.2054 90.00 90.00 90.00
Positions (direct):
Zr: 0.5000 0.5000 0.5000
Ta: 0.0000 0.0000 0.0000
Hg: 0.0000 0.5000 0.0000
Hg: 0.5000 0.0000 0.0000
Hg: 0.0000 0.0000 0.5000

Results
The energy relative to the elements is 1122 meV per atom. As for the energy above the most stable polymorph in this dataset: 0.00 eV per formula unit. As for the volume: 141.0 Å³/cell. As for the crystal system: cubic. The space-group type is Pm-3m, No. 221.


11.
A geometry-optimized SmHoBiSe structure. Source: the Alexandria database, functional PBE-GGA.

Lattice parameters (Å, degrees): 4.2084 4.2089 7.9584 90.00 105.33 120.00
Last column: magnetic moment on the atom in μB.
Positions (direct):
Bi: 0.1290 0.9624 0.1066  0.00
Ho: 0.2985 0.5471 0.8610  0.06
Se: 0.4775 0.1367 0.6296  0.00
Sm: 0.9730 0.3846 0.3725  0.21

Results
As for the volume: 116.3 Å³/cell. As for the crystal system: trigonal. The calculation puts the energy relative to the elements, uncorrected at -1.203 eV/atom. The space-group type is R3m, No. 160.


12.
A geometry-optimized ZrBiF2 structure. Source: the Alexandria database, functional PBE-GGA.

Lattice parameters (Å, degrees): 4.5589 4.5589 4.5589 60.00 60.00 60.00
Positions (direct):
Zr: 0.0000 0.0000 0.0000
Bi: 0.5000 0.5000 0.5000
F: 0.2500 0.2500 0.2500
F: 0.7500 0.7500 0.7500

Results
As for the energy above the most stable polymorph in this dataset: 2.39 eV per formula unit. As for the volume: 67.0 Å³/cell. As for the crystal system: cubic. The calculation puts the energy relative to the elements, uncorrected at -1.241 eV/atom. The space-group type is Fm-3m, No. 225.


no.,Fermi-level density of states (states/eV/atom)
1,0.407
2,1.419
3,0.738
4,1.290
5,1.182
6,0.514
7,0.563
8,0.621
9,0.835
10,1.127
11,0.461
12,0.497